Record 1
Entry from the Alexandria database: an optimized crystal structure of CeV2Cl8 (GGA-PBE).

Cell: 6.468 7.786 7.786 Å, 71.09 87.29 87.29°
Site moments in Bohr magnetons follow the coordinates.
Fractional coordinates of all 11 atoms:
Cl: 0.751 0.094 0.699  -0.01
Cl: 0.751 0.699 0.094  -0.01
Cl: 0.722 0.176 0.176  -0.01
Cl: 0.215 0.363 0.363  -0.02
Cl: 0.278 0.824 0.824  -0.01
Cl: 0.249 0.906 0.301  -0.01
Cl: 0.785 0.637 0.637  -0.02
Cl: 0.249 0.301 0.906  -0.01
V: 0.641 0.798 0.798  2.14
V: 0.359 0.202 0.202  2.14
Ce: 0.000 0.000 0.000  1.07

The space group is C2/m (12).

***

Record 2
Entry from the Alexandria database: an optimized crystal structure of CeYCl (GGA-PBE).

Cell: 3.591 3.591 7.383 Å, 90.00 90.00 120.00°
Site moments in Bohr magnetons follow the coordinates.
Fractional coordinates of all 3 atoms:
Cl: 0.333 0.667 0.648  0.00
Ce: 0.000 0.000 0.983  1.01
Y: 0.667 0.333 0.369  0.11

The space group is P3m1 (156).

***

Record 3
Entry from the Alexandria database: an optimized crystal structure of CeYCl2 (GGA-PBE).

Cell: 3.643 3.643 9.744 Å, 79.23 79.23 60.00°
Site moments in Bohr magnetons follow the coordinates.
Fractional coordinates of all 4 atoms:
Cl: 0.905 0.905 0.285  -0.01
Cl: 0.095 0.095 0.715  -0.01
Y: 0.000 0.000 0.000  0.00
Ce: 0.500 0.500 0.500  0.95

The space group is R-3m (166).

***

Record 4
Entry from the Alexandria database: an optimized crystal structure of CeY2Cl (GGA-PBE).

Cell: 3.594 3.594 10.093 Å, 79.74 79.74 60.00°
Site moments in Bohr magnetons follow the coordinates.
Fractional coordinates of all 4 atoms:
Y: 0.740 0.740 0.780  0.03
Y: 0.260 0.260 0.220  0.03
Ce: 0.500 0.500 0.500  0.66
Cl: 0.000 0.000 0.000  0.00

The space group is R-3m (166).

***

Record 5
Entry from the Alexandria database: an optimized crystal structure of CeYCl5 (GGA-PBE).

Cell: 3.970 7.436 12.766 Å, 89.61 90.00 90.00°
Site moments in Bohr magnetons follow the coordinates.
Fractional coordinates of all 14 atoms:
Ce: 0.750 0.064 0.164  1.27
Ce: 0.250 0.936 0.836  1.27
Cl: 0.250 0.681 0.515  0.00
Cl: 0.250 0.346 0.136  -0.01
Cl: 0.250 0.347 0.718  0.00
Cl: 0.750 0.654 0.864  -0.01
Cl: 0.250 0.055 0.328  -0.01
Cl: 0.250 0.844 0.067  -0.01
Cl: 0.750 0.653 0.282  0.00
Cl: 0.750 0.156 0.933  -0.01
Cl: 0.750 0.945 0.672  -0.01
Cl: 0.750 0.319 0.485  0.00
Y: 0.750 0.576 0.654  0.23
Y: 0.250 0.424 0.346  0.23

The space group is P2_1/m (11).

***

Record 6
Entry from the Alexandria database: an optimized crystal structure of CeYCl3 (GGA-PBE).

Cell: 3.922 8.152 9.965 Å, 71.44 78.65 76.08°
Site moments in Bohr magnetons follow the coordinates.
Fractional coordinates of all 10 atoms:
Y: 0.586 0.780 0.047  -0.06
Y: 0.414 0.220 0.953  -0.06
Cl: 0.654 0.198 0.494  -0.01
Cl: 0.223 0.666 0.887  0.00
Cl: 0.051 0.650 0.248  0.00
Cl: 0.777 0.334 0.113  0.00
Cl: 0.346 0.802 0.506  -0.01
Cl: 0.949 0.350 0.752  0.00
Ce: 0.141 0.012 0.705  0.97
Ce: 0.859 0.988 0.295  0.97

The space group is C2/m (12).

***

Record 7
Entry from the Alexandria database: an optimized crystal structure of CeZnCl6 (GGA-PBE).

Cell: 6.533 6.533 7.022 Å, 62.27 62.26 59.99°
Fractional coordinates of all 8 atoms:
Cl: 0.759 0.101 0.759
Cl: 0.899 0.618 0.241
Cl: 0.618 0.241 0.241
Cl: 0.241 0.899 0.241
Cl: 0.101 0.382 0.759
Cl: 0.382 0.759 0.759
Zn: 0.000 0.000 0.000
Ce: 0.500 0.500 0.500

The space group is R-3 (148). For the energy above the most stable polymorph in this dataset, the calculation gives 10 meV/atom.

***

Record 8
Entry from the Alexandria database: an optimized crystal structure of CeZnCl5 (GGA-PBE).

Cell: 7.215 7.215 10.580 Å, 112.61 112.63 85.41°
Site moments in Bohr magnetons follow the coordinates.
Fractional coordinates of all 14 atoms:
Cl: 0.418 0.082 0.250  -0.01
Cl: 0.265 0.309 0.951  0.00
Cl: 0.156 0.738 0.828  -0.01
Cl: 0.582 0.918 0.750  -0.01
Cl: 0.191 0.234 0.549  0.00
Cl: 0.809 0.766 0.451  0.00
Cl: 0.239 0.656 0.328  -0.01
Cl: 0.735 0.691 0.049  0.00
Cl: 0.844 0.262 0.172  -0.01
Cl: 0.761 0.344 0.672  -0.01
Zn: 0.895 0.605 0.250  0.00
Zn: 0.105 0.395 0.750  0.00
Ce: 0.500 0.000 0.500  0.98
Ce: 0.500 0.000 0.000  0.98

The space group is C2/c (15).

***

Record 9
Entry from the Alexandria database: an optimized crystal structure of CeZnCl (GGA-PBE).

Cell: 4.257 4.257 10.550 Å, 88.22 88.22 60.06°
Site moments in Bohr magnetons follow the coordinates.
Fractional coordinates of all 6 atoms:
Cl: 0.316 0.316 0.844  -0.01
Cl: 0.684 0.684 0.156  -0.01
Zn: 0.334 0.334 0.491  0.01
Zn: 0.666 0.666 0.509  0.01
Ce: 0.990 0.990 0.692  0.95
Ce: 0.010 0.010 0.308  0.95

The space group is C2/m (12). For the energy above the most stable polymorph in this dataset, the calculation gives 0 meV/atom.

***

Record 10
Entry from the Alexandria database: an optimized crystal structure of CeZnCl6 (GGA-PBE).

Cell: 7.535 6.395 6.926 Å, 98.15 105.80 126.03°
Fractional coordinates of all 8 atoms:
Zn: 0.000 0.000 0.000
Cl: 0.628 0.860 0.717
Cl: 0.089 0.857 0.717
Cl: 0.372 0.140 0.283
Cl: 0.249 0.497 0.000
Cl: 0.911 0.143 0.283
Cl: 0.751 0.503 0.000
Ce: 0.500 0.000 0.000

The space group is C2/m (12). For the energy above the most stable polymorph in this dataset, the calculation gives 0 meV/atom.

***

Record 11
Entry from the Alexandria database: an optimized crystal structure of CeZn2Cl6 (GGA-PBE).

Cell: 3.773 6.965 10.916 Å, 82.77 90.00 105.72°
Site moments in Bohr magnetons follow the coordinates.
Fractional coordinates of all 9 atoms:
Cl: 0.882 0.764 0.734  0.00
Cl: 0.633 0.266 0.597  -0.01
Cl: 0.153 0.305 0.887  0.00
Cl: 0.367 0.734 0.403  -0.01
Cl: 0.847 0.695 0.113  0.00
Cl: 0.118 0.236 0.266  0.00
Zn: 0.712 0.424 0.780  0.00
Zn: 0.288 0.576 0.220  0.00
Ce: 0.000 0.000 0.500  1.20

The space group is C2/m (12).

***

Record 12
Entry from the Alexandria database: an optimized crystal structure of CeZnCl (GGA-PBE).

Cell: 4.388 4.591 7.611 Å, 90.00 106.75 90.00°
Site moments in Bohr magnetons follow the coordinates.
Fractional coordinates of all 6 atoms:
Zn: 0.464 0.750 0.929  0.02
Zn: 0.536 0.250 0.071  0.02
Ce: 0.119 0.750 0.238  0.97
Ce: 0.881 0.250 0.762  0.97
Cl: 0.754 0.750 0.507  -0.01
Cl: 0.246 0.250 0.493  -0.01

The space group is Cmcm (63). For the energy above the most stable polymorph in this dataset, the calculation gives 131 meV/atom.

***

What did we get for M_tot? Answer: 6.000, 1.553, 1.125, 0.927, 2.015, 0.960, 0.000, 1.000, 1.240, 0.000, 1.360, 1.207 μB per formula unit, in the order shown.
What did we get for energy relative to the elements, uncorrected? Answer: -1402.2, -819.9, -1300.9, -638.8, -2154.0, -1764.0, -1556.7, -1714.9, -1069.2, -1566.7, -1378.5, -938.3 meV/atom, in the order shown.